VASP calculation (PBE) on a relaxed Ta2NbMo6W2 crystal.

Values from the calculation:
ΔH_f (0 K) ... 0.659 eV/atom
Crystal system ... trigonal
Space-group type ... R-3m (166)

Cell lengths 5.349, 5.349, 8.625 Å; angles 71.94, 71.94, 60.00 degrees
Atoms (fractional coordinates):
Mo 0.070 0.568 0.291
Mo 0.070 0.070 0.291
Mo 0.930 0.432 0.709
W 0.449 0.449 0.652
Mo 0.568 0.070 0.291
Mo 0.432 0.930 0.709
Ta 0.657 0.657 0.028
Mo 0.930 0.930 0.709
Nb 0.000 0.000 0.000
Ta 0.343 0.343 0.972
W 0.551 0.551 0.348

VASP calculation (PBE) on a relaxed TaNb2ZnMo crystal.

Values from the calculation:
ΔH_f (0 K) ... 1.312 eV/atom
Crystal system ... tetragonal
Space-group type ... P4/mmm (123)

Cell lengths 4.815, 4.846, 4.815 Å; angles 90.00, 90.00, 90.00 degrees
Atoms (fractional coordinates):
Ta 0.000 0.500 0.000
Nb 0.500 0.000 0.000
Nb 0.000 0.000 0.500
Mo 0.000 0.000 0.000
Zn 0.500 0.500 0.500

VASP calculation (PBE) on a relaxed Nb2TcMo crystal.

Values from the calculation:
ΔH_f (0 K) ... -0.249 eV/atom
Crystal system ... tetragonal
Space-group type ... P4/mmm (123)

Cell lengths 3.208, 4.548, 4.548 Å; angles 90.00, 90.00, 90.00 degrees
Atoms (fractional coordinates):
Mo 0.500 0.000 0.000
Nb 0.000 0.500 0.000
Nb 0.000 0.000 0.500
Tc 0.500 0.500 0.500

VASP calculation (PBE) on a relaxed Nb2TcMo crystal.

Values from the calculation:
ΔH_f (0 K) ... 0.664 eV/atom
Crystal system ... orthorhombic
Space-group type ... Immm (71)

Cell lengths 5.899, 5.899, 5.899 Å; angles 54.80, 150.45, 134.95 degrees
Atoms (fractional coordinates):
Tc 0.000 0.500 0.500
Mo 0.000 0.000 0.000
Nb 0.000 0.257 0.257
Nb 0.000 0.743 0.743

> Which of these has the highest ΔH_f (0 K)?

TaNb2ZnMo